1.
A plane-wave DFT calculation with GGA-PBE was carried out for an optimized crystal structure of DyMg2Ru.

a = 15.3503 Å, b = 8.3665 Å, c = 5.3351 Å
α = 90.00°, β = 90.00°, γ = 90.00°
With the nearest neighbours (Å) after each atom.
Positions (direct):
Dy: 0.1092 0.2500 0.2497  3 Ru 2.85-2.93
Dy: 0.1394 0.7500 0.0567  3 Ru 2.86-2.93
Dy: 0.3606 0.2500 0.5567  3 Ru 2.86-2.93
Dy: 0.3908 0.7500 0.7497  3 Ru 2.85-2.93
Dy: 0.6092 0.2500 0.2503  3 Ru 2.85-2.93
Dy: 0.6394 0.7500 0.4433  3 Ru 2.86-2.93
Dy: 0.8606 0.2500 0.9433  3 Ru 2.86-2.93
Dy: 0.8908 0.7500 0.7503  3 Ru 2.85-2.93
Mg: 0.0397 0.0584 0.7355  3 Ru 2.76-2.77, 2 Mg 2.96-2.97
Mg: 0.0397 0.4416 0.7355  3 Ru 2.76-2.77, 2 Mg 2.96-2.97
Mg: 0.2108 0.5571 0.5485  3 Ru 2.75-2.81, 3 Mg 2.97-3.08
Mg: 0.2108 0.9429 0.5485  3 Ru 2.75-2.81, 3 Mg 2.97-3.08
Mg: 0.2892 0.0571 0.0485  3 Ru 2.75-2.81, 3 Mg 2.97-3.08
Mg: 0.2892 0.4429 0.0485  3 Ru 2.75-2.81, 3 Mg 2.97-3.08
Mg: 0.4603 0.5584 0.2355  3 Ru 2.76-2.77, 2 Mg 2.96-2.97
Mg: 0.4603 0.9416 0.2355  3 Ru 2.76-2.77, 2 Mg 2.96-2.97
Mg: 0.5397 0.0584 0.7645  3 Ru 2.76-2.77, 2 Mg 2.96-2.97
Mg: 0.5397 0.4416 0.7645  3 Ru 2.76-2.77, 2 Mg 2.96-2.97
Mg: 0.7108 0.5571 0.9515  3 Ru 2.75-2.81, 3 Mg 2.97-3.08
Mg: 0.7108 0.9429 0.9515  3 Ru 2.75-2.81, 3 Mg 2.97-3.08
Mg: 0.7892 0.0571 0.4515  3 Ru 2.75-2.81, 3 Mg 2.97-3.08
Mg: 0.7892 0.4429 0.4515  3 Ru 2.75-2.81, 3 Mg 2.97-3.08
Mg: 0.9603 0.5584 0.2645  3 Ru 2.76-2.77, 2 Mg 2.96-2.97
Mg: 0.9603 0.9416 0.2645  3 Ru 2.76-2.77, 2 Mg 2.96-2.97
Ru: 0.0641 0.7500 0.5606  6 Mg 2.76-2.77, 3 Dy 2.85-2.93
Ru: 0.1869 0.2500 0.7510  6 Mg 2.75-2.81, 3 Dy 2.86-2.93
Ru: 0.3131 0.7500 0.2510  6 Mg 2.75-2.81, 3 Dy 2.86-2.93
Ru: 0.4359 0.2500 0.0606  6 Mg 2.76-2.77, 3 Dy 2.85-2.93
Ru: 0.5641 0.7500 0.9394  6 Mg 2.76-2.77, 3 Dy 2.85-2.93
Ru: 0.6869 0.2500 0.7490  6 Mg 2.75-2.81, 3 Dy 2.86-2.93
Ru: 0.8131 0.7500 0.2490  6 Mg 2.75-2.81, 3 Dy 2.86-2.93
Ru: 0.9359 0.2500 0.4394  6 Mg 2.76-2.77, 3 Dy 2.85-2.93

2.
A plane-wave DFT calculation with GGA-PBE was carried out for an optimized crystal structure of ThPaCuOs.

a = 7.0038 Å, b = 7.0038 Å, c = 7.0038 Å
α = 90.00°, β = 90.00°, γ = 90.00°
With the nearest neighbours (Å) after each atom.
Positions (direct):
Th: 0.0000 0.0000 0.0000  4 Os 3.03, 4 Cu 3.03
Th: 0.0000 0.5000 0.5000  4 Os 3.03, 4 Cu 3.03
Th: 0.5000 0.0000 0.5000  4 Os 3.03, 4 Cu 3.03
Th: 0.5000 0.5000 0.0000  4 Os 3.03, 4 Cu 3.03
Pa: 0.0000 0.0000 0.5000  4 Cu 3.03, 4 Os 3.03
Pa: 0.0000 0.5000 0.0000  4 Cu 3.03, 4 Os 3.03
Pa: 0.5000 0.0000 0.0000  4 Cu 3.03, 4 Os 3.03
Pa: 0.5000 0.5000 0.5000  4 Cu 3.03, 4 Os 3.03
Cu: 0.2500 0.2500 0.7500  4 Th 3.03, 4 Pa 3.03
Cu: 0.2500 0.7500 0.2500  4 Th 3.03, 4 Pa 3.03
Cu: 0.7500 0.2500 0.2500  4 Th 3.03, 4 Pa 3.03
Cu: 0.7500 0.7500 0.7500  4 Th 3.03, 4 Pa 3.03
Os: 0.2500 0.2500 0.2500  4 Th 3.03, 4 Pa 3.03
Os: 0.2500 0.7500 0.7500  4 Pa 3.03, 4 Th 3.03
Os: 0.7500 0.2500 0.7500  4 Pa 3.03, 4 Th 3.03
Os: 0.7500 0.7500 0.2500  4 Pa 3.03, 4 Th 3.03

3.
A plane-wave DFT calculation with GGA-PBE was carried out for an optimized crystal structure of TbTmGa2Pd2.

a = 4.4940 Å, b = 4.4940 Å, c = 6.7972 Å
α = 90.00°, β = 90.00°, γ = 120.00°
With the nearest neighbours (Å) after each atom.
Positions (direct):
Tb: 0.0000 0.0000 0.0000  6 Ga 3.14, 6 Pd 3.15, 2 Tm 3.40
Tm: 0.0000 0.0000 0.5000  6 Pd 3.05, 6 Ga 3.06, 2 Tb 3.40
Ga: 0.3333 0.6667 0.7397  3 Pd 2.59
Ga: 0.6667 0.3333 0.2603  3 Pd 2.59
Pd: 0.3333 0.6667 0.2635  3 Ga 2.59
Pd: 0.6667 0.3333 0.7365  3 Ga 2.59

Number 1: energy of formation -185 meV/atom, DOS(E_F) 0.6380 states/eV per atom. Number 2: energy of formation -94 meV/atom, DOS(E_F) 1.0004 states/eV per atom. Number 3: energy of formation -863 meV/atom, DOS(E_F) 0.6785 states/eV per atom.